(1)
{
  "formula": "CrCoRe2",
  "functional": "PBE",
  "state": "optimized geometry",
  "cell": [[-3.582, -1.340, -0.426], [0.397, -1.680, 1.946], [-1.436, 2.246, 5.013]],
  "species": ["Re", "Re", "Cr", "Co"],
  "fractional_positions": [[0.000, 0.573, 0.496], [0.000, 0.927, 0.004], [0.500, 0.750, 0.750], [0.500, 0.250, 0.250]],
  "total_magnetization_mub_per_fu": 0.0,
  "formation_energy_mev_per_atom": 137,
  "space_group": "P2/m (10)",
  "polymorph_energy_ev_per_atom": 0.091
}

(2)
{
  "formula": "Tb7YEr5",
  "functional": "PBE",
  "state": "optimized geometry",
  "cell": [[6.660, 0.000, 0.000], [3.330, 7.998, 0.139], [3.330, 0.114, 7.999]],
  "species": ["Er", "Tb", "Er", "Er", "Tb", "Er", "Tb", "Er", "Tb", "Tb", "Tb", "Y", "Tb"],
  "fractional_positions": [[0.997, 0.541, 0.999], [0.421, 0.579, 0.579], [0.730, 0.770, 0.770], [0.463, 0.999, 0.541], [0.236, 0.264, 0.264], [0.997, 0.999, 0.541], [0.981, 0.349, 0.689], [0.463, 0.541, 0.999], [0.483, 0.842, 0.192], [0.981, 0.689, 0.349], [0.483, 0.192, 0.842], [0.037, 0.963, 0.963], [0.726, 0.274, 0.274]],
  "total_magnetization_mub_per_fu": 0.0,
  "formation_energy_mev_per_atom": 246,
  "space_group": "Imm2 (44)",
  "polymorph_energy_ev_per_atom": 0.000
}

(3)
{
  "formula": "Sr3Li2Ga",
  "functional": "PBE",
  "state": "optimized geometry",
  "cell": [[-1.494, 6.404, 3.472], [-3.943, -3.205, 5.430], [5.239, -0.017, 6.467]],
  "species": ["Ga", "Sr", "Li", "Ga", "Sr", "Sr", "Li", "Li", "Sr", "Sr", "Sr", "Li"],
  "fractional_positions": [[0.315, 0.685, 0.750], [0.753, 0.893, 0.476], [0.084, 0.553, 0.626], [0.685, 0.315, 0.250], [0.633, 0.367, 0.750], [0.107, 0.247, 0.024], [0.447, 0.916, 0.874], [0.916, 0.447, 0.374], [0.893, 0.753, 0.976], [0.367, 0.633, 0.250], [0.247, 0.107, 0.524], [0.553, 0.084, 0.126]],
  "total_magnetization_mub_per_fu": 0.0,
  "formation_energy_mev_per_atom": -58,
  "space_group": "C2/c (15)"
}

(4)
{
  "formula": "Ac3TcN4",
  "functional": "PBE",
  "state": "optimized geometry",
  "cell": [[6.866, 0.000, 0.000], [0.000, 6.918, 0.000], [0.000, 0.000, 7.879]],
  "species": ["N", "Ac", "Tc", "Ac", "Ac", "N", "Ac", "N", "Ac", "N", "N", "Tc", "N", "N", "Ac", "N"],
  "fractional_positions": [[0.006, 0.290, 0.790], [0.113, 0.167, 0.500], [0.461, 0.836, 0.500], [0.123, 0.651, 0.233], [0.123, 0.651, 0.767], [0.010, 0.893, 0.000], [0.623, 0.349, 0.267], [0.172, 0.820, 0.500], [0.613, 0.833, 0.000], [0.506, 0.710, 0.710], [0.506, 0.710, 0.290], [0.961, 0.164, 0.000], [0.510, 0.107, 0.500], [0.672, 0.180, 0.000], [0.623, 0.349, 0.733], [0.006, 0.290, 0.210]],
  "total_magnetization_mub_per_fu": 0.0,
  "e_tot_ev_per_cell": -123.2,
  "space_group": "Pmn2_1 (31)"
}